BaY2Zn | PBE | optimized geometry

Calculated values
Formation energy from the elements in eV/atom: 0.27
E_tot in eV/atom: -3.757
Magnetization in μB/atom: 0.0000

Cell and atoms, written as CIF:
```
data_BaY2Zn
_cell_length_a 7.1355
_cell_length_b 8.9787
_cell_length_c 3.8910
_cell_angle_alpha 90.00
_cell_angle_beta 90.00
_cell_angle_gamma 90.00
_space_group_name_H-M_alt 'C m m m'
_space_group_IT_number 65
_space_group_name_Hall '-C 2 2'
loop_
_atom_site_label
_atom_site_type_symbol
_atom_site_fract_x
_atom_site_fract_y
_atom_site_fract_z
Ba1 Ba 0.0000 0.0000 0.0000
Y1 Y 0.2500 0.2500 0.5000
Zn1 Zn 0.0000 0.5000 0.0000
```